! La8OsRh3Br4 | Alexandria via LeMat-Bulk | PBE | optimized geometry; values from VASP
! - electronic total energy (eV per cell) = -97.238
! - E_form (uncorrected) (eV/atom) = -1.115
! - total magnetic moment (Bohr magnetons per cell) = 0.00
! - V (Å³ per cell) = 482
&SYSTEM
  ibrav = 0, nat = 16, ntyp = 4
/
ATOMIC_SPECIES
La 138.91 La.upf
Os 190.23 Os.upf
Rh 102.91 Rh.upf
Br 79.90 Br.upf
ATOMIC_POSITIONS crystal
La 0.231 0.231 0.231
La 0.238 0.729 0.729
La 0.271 0.271 0.762
La 0.271 0.762 0.271
La 0.729 0.238 0.729
La 0.729 0.729 0.238
La 0.762 0.271 0.271
La 0.769 0.769 0.769
Os 0.500 0.500 0.500
Rh 0.000 0.000 0.500
Rh 0.000 0.500 0.000
Rh 0.500 0.000 0.000
Br 0.000 0.000 0.000
Br 0.000 0.500 0.500
Br 0.500 0.000 0.500
Br 0.500 0.500 0.000
CELL_PARAMETERS angstrom
4.182 2.414 7.953
-4.182 2.414 7.953
0.000 -4.828 7.953